No. 1
DFT (PBE with a Hubbard U) results for an optimized crystal structure of Na4Ac3NiO8.

Cell lengths 7.021, 6.789, 7.592 Å; angles 117.86, 117.54, 90.00 degrees
Each line ends with the local moment (μB).
Positions (direct):
O (0.778, 0.667, 0.943)  -0.05
O (0.281, 0.278, 0.562)  0.00
Ac (0.500, 0.500, 0.500)  0.00
O (0.695, 0.207, 0.390)  -0.01
Na (0.000, 0.000, 0.000)  0.00
Na (0.500, 0.000, 0.000)  0.00
O (0.222, 0.333, 0.057)  -0.05
O (0.305, 0.793, 0.610)  -0.01
Ni (0.000, 0.500, 0.000)  1.22
O (0.835, 0.333, 0.057)  -0.05
O (0.165, 0.667, 0.943)  -0.05
Na (0.000, 0.000, 0.500)  0.00
Ac (0.000, 0.500, 0.500)  0.00
Na (0.500, 0.000, 0.500)  0.00
Ac (0.500, 0.500, 0.000)  0.00
O (0.719, 0.722, 0.438)  0.00

Summary:
Space-group type   No. 12
Uncorrected energy   -5.810 eV/atom

---

No. 2
DFT (PBE with a Hubbard U) results for an optimized crystal structure of NaAc3Ni2O9.

Cell lengths 5.570, 5.570, 6.890 Å; angles 90.00, 90.00, 120.00 degrees
Positions (direct):
Ac (0.333, 0.667, 0.671)
O (0.821, 0.642, 0.685)
O (0.821, 0.179, 0.685)
O (0.500, 0.000, 0.000)
O (0.358, 0.179, 0.685)
Na (0.000, 0.000, 0.500)
Ni (0.667, 0.333, 0.836)
Ni (0.333, 0.667, 0.164)
O (0.642, 0.821, 0.315)
O (0.000, 0.500, 0.000)
O (0.500, 0.500, 0.000)
O (0.179, 0.358, 0.315)
Ac (0.000, 0.000, 0.000)
Ac (0.667, 0.333, 0.329)
O (0.179, 0.821, 0.315)

Summary:
Space-group type   No. 164
Uncorrected energy   -6.297 eV/atom